Below is SiWN2F after structural relaxation, with properties calculated at the PBE+U level.

Results
E above lowest polymorph = 0 meV/atom
Magnetization = 3.0 μB/cell
Crystal system = tetragonal

Lattice parameters (Å, degrees): 3.753 3.753 3.528 90.00 90.00 90.00
Site moments in Bohr magnetons follow the coordinates.
Fractional coordinates of all 5 atoms:
1 W 0.500 0.500 0.500  2.92
2 Si 0.000 0.000 0.000  0.02
3 N 0.000 0.500 0.000  -0.09
4 N 0.500 0.000 0.000  -0.09
5 F 0.000 0.000 0.500  0.06